# 1
The following is a DFT calculation (SCAN) of a PBEsol-optimized structure of Tc2POs.

abc: 2.869 4.284 5.004
angles: 115.34 106.66 90.00
Fractional coordinates of all 4 atoms:
Os 0.500 0.000 0.000
Tc 0.283 0.283 0.565
Tc 0.717 0.717 0.435
P 0.000 0.500 0.000

Results
- Energy relative to the elements: -0.164 eV/atom
- M_tot: 0.0000 μB per atom
- Crystal system: orthorhombic
- N(E_F): 2.68 states/eV per cell
- E_tot: -38.263 eV/atom
- ρ: 13.14 Mg/m³

***

# 2
The following is a DFT calculation (SCAN) of a PBEsol-optimized structure of TcPOs.

abc: 2.802 2.802 6.161
angles: 96.71 96.71 119.11
Fractional coordinates of all 3 atoms:
Tc 0.681 0.681 0.363
Os 0.986 0.986 0.972
P 0.333 0.333 0.665

Results
- Energy relative to the elements: 0.414 eV/atom
- M_tot: 0.0000 μB per atom
- Crystal system: orthorhombic
- N(E_F): 2.37 states/eV per cell
- E_tot: -38.699 eV/atom
- ρ: 12.88 Mg/m³